No. 1
Material: Pm3Pr6Pu
Method: DFT, PBE
State: optimized geometry

Space group: P2_1/c, No. 14

Unit cell a=6.3346 b=9.5000 c=13.2025 alpha=90.00 beta=117.77 gamma=90.00
Closest atoms and distances in Å follow each position.
Positions (direct):
Pm1 0.0000 0.0000 0.0000  4 Pr 3.15-3.33
Pm2 0.0000 0.5000 0.5000  4 Pr 3.15-3.33
Pm3 0.3817 0.1646 0.7506  4 Pr 3.35-3.58
Pm4 0.3817 0.3354 0.2506  4 Pr 3.35-3.58
Pm5 0.6183 0.6646 0.7494  4 Pr 3.35-3.58
Pm6 0.6183 0.8354 0.2494  4 Pr 3.35-3.58
Pr1 0.0852 0.6592 0.0653  2 Pm 3.33-3.53, 2 Pr 3.40-3.52, 2 Pu 3.47-3.71
Pr2 0.0852 0.8408 0.5653  2 Pm 3.33-3.53, 2 Pr 3.40-3.52, 2 Pu 3.47-3.71
Pr3 0.1058 0.5169 0.7576  1 Pu 3.01, 2 Pm 3.15-3.35
Pr4 0.1058 0.9831 0.2576  1 Pu 3.01, 2 Pm 3.15-3.35
Pr5 0.4438 0.6665 0.4331  1 Pu 3.26, 2 Pm 3.49-3.58, 2 Pr 3.53-3.65
Pr6 0.4438 0.8335 0.9331  1 Pu 3.26, 2 Pm 3.49-3.58, 2 Pr 3.53-3.65
Pr7 0.5562 0.1665 0.0669  1 Pu 3.26, 2 Pm 3.49-3.58, 2 Pr 3.53-3.65
Pr8 0.5562 0.3335 0.5669  1 Pu 3.26, 2 Pm 3.49-3.58, 2 Pr 3.53-3.65
Pr9 0.8942 0.0169 0.7424  1 Pu 3.01, 2 Pm 3.15-3.35
Pr10 0.8942 0.4831 0.2424  1 Pu 3.01, 2 Pm 3.15-3.35
Pr11 0.9148 0.1592 0.4347  2 Pm 3.33-3.53, 2 Pr 3.40-3.52, 2 Pu 3.47-3.71
Pr12 0.9148 0.3408 0.9347  2 Pm 3.33-3.53, 2 Pr 3.40-3.52, 2 Pu 3.47-3.71
Pu1 0.5000 0.0000 0.5000  4 Pr 3.01-3.26
Pu2 0.5000 0.5000 0.0000  4 Pr 3.01-3.26


No. 2
Material: CoSn2Ir
Method: DFT, PBE
State: optimized geometry

Space group: R-3m, No. 166

Unit cell a=9.3275 b=9.3275 c=9.3275 alpha=19.58 beta=19.58 gamma=19.58
Closest atoms and distances in Å follow each position.
Positions (direct):
Co1 0.0000 0.0000 0.0000  2 Sn 2.51
Sn1 0.0913 0.0913 0.0913  1 Co 2.51, 3 Ir 2.76
Sn2 0.9087 0.9087 0.9087  1 Co 2.51, 3 Ir 2.76
Ir1 0.5000 0.5000 0.5000  6 Sn 2.76


Values for DFT formation energy, kcal/mol of atoms, ordered as above
4.86, 10.38